(1)
# PaTaAu PBE-GGA relaxed
# Mass density ... 13.39 g/cm³
# Energy of formation from the pure elements ... 0.93 eV per atom
# Energy above the most stable polymorph in this dataset ... 329 meV per atom
# DFT total energy ... -87.33 eV/cell
data_PaTaAu
_chemical_formula_sum 'Pa4 Ta4 Au4'
_cell_length_a 6.709
_cell_length_b 6.709
_cell_length_c 6.709
_cell_angle_alpha 90.00
_cell_angle_beta 90.00
_cell_angle_gamma 90.00
_space_group_name_H-M_alt 'F -4 3 m'
_space_group_IT_number 216
_space_group_name_Hall 'F -4 2 3'
loop_
_atom_site_label
_atom_site_type_symbol
_atom_site_fract_x
_atom_site_fract_y
_atom_site_fract_z
Pa1 Pa 0.000 0.000 0.000
Ta1 Ta 0.250 0.250 0.250
Au1 Au 0.250 0.250 0.750

***

(2)
# PaTaAu PBE-GGA relaxed
# Mass density ... 13.62 g/cm³
# Energy of formation from the pure elements ... 0.60 eV per atom
# Energy above the most stable polymorph in this dataset ... 0 meV per atom
# DFT total energy ... -91.28 eV/cell
data_PaTaAu
_chemical_formula_sum 'Pa4 Ta4 Au4'
_cell_length_a 6.672
_cell_length_b 6.672
_cell_length_c 6.672
_cell_angle_alpha 90.00
_cell_angle_beta 90.00
_cell_angle_gamma 90.00
_space_group_name_H-M_alt 'F -4 3 m'
_space_group_IT_number 216
_space_group_name_Hall 'F -4 2 3'
loop_
_atom_site_label
_atom_site_type_symbol
_atom_site_fract_x
_atom_site_fract_y
_atom_site_fract_z
Pa1 Pa 0.000 0.000 0.000
Ta1 Ta 0.000 0.000 0.500
Au1 Au 0.250 0.250 0.250

***

(3)
# TbPaAu PBE-GGA relaxed
# Mass density ... 11.80 g/cm³
# Energy of formation from the pure elements ... 0.47 eV per atom
# Energy above the most stable polymorph in this dataset ... 0 meV per atom
# DFT total energy ... -63.94 eV/cell
data_TbPaAu
_chemical_formula_sum 'Tb4 Pa4 Au4'
_cell_length_a 6.912
_cell_length_b 6.912
_cell_length_c 6.912
_cell_angle_alpha 90.00
_cell_angle_beta 90.00
_cell_angle_gamma 90.00
_space_group_name_H-M_alt 'F -4 3 m'
_space_group_IT_number 216
_space_group_name_Hall 'F -4 2 3'
loop_
_atom_site_label
_atom_site_type_symbol
_atom_site_fract_x
_atom_site_fract_y
_atom_site_fract_z
Tb1 Tb 0.000 0.000 0.000
Pa1 Pa 0.250 0.250 0.750
Au1 Au 0.000 0.000 0.500

***

(4)
# ThPaAu PBE-GGA relaxed
# Mass density ... 12.86 g/cm³
# Energy of formation from the pure elements ... 0.44 eV per atom
# DFT total energy ... -75.47 eV/cell
data_ThPaAu
_chemical_formula_sum 'Th4 Pa4 Au4'
_cell_length_a 6.987
_cell_length_b 6.987
_cell_length_c 6.987
_cell_angle_alpha 90.00
_cell_angle_beta 90.00
_cell_angle_gamma 90.00
_space_group_name_H-M_alt 'F -4 3 m'
_space_group_IT_number 216
_space_group_name_Hall 'F -4 2 3'
loop_
_atom_site_label
_atom_site_type_symbol
_atom_site_fract_x
_atom_site_fract_y
_atom_site_fract_z
Th1 Th 0.000 0.000 0.000
Pa1 Pa 0.250 0.250 0.750
Au1 Au 0.000 0.000 0.500

***

(5)
# UPaAu PBE-GGA relaxed
# Mass density ... 14.87 g/cm³
# Energy of formation from the pure elements ... 0.34 eV per atom
# Energy above the most stable polymorph in this dataset ... 0 meV per atom
# DFT total energy ... -92.11 eV/cell
data_UPaAu
_chemical_formula_sum 'U4 Pa4 Au4'
_cell_length_a 6.676
_cell_length_b 6.676
_cell_length_c 6.676
_cell_angle_alpha 90.00
_cell_angle_beta 90.00
_cell_angle_gamma 90.00
_space_group_name_H-M_alt 'F -4 3 m'
_space_group_IT_number 216
_space_group_name_Hall 'F -4 2 3'
loop_
_atom_site_label
_atom_site_type_symbol
_atom_site_fract_x
_atom_site_fract_y
_atom_site_fract_z
U1 U 0.000 0.000 0.000
Pa1 Pa 0.250 0.250 0.250
Au1 Au 0.250 0.250 0.750

***

(6)
# Pa2Zn15Au2 PBE-GGA relaxed
# Mass density ... 9.86 g/cm³
# Energy of formation from the pure elements ... -0.17 eV per atom
# DFT total energy ... -143.09 eV/cell
data_Pa2Zn15Au2
_chemical_formula_sum 'Pa6 Zn45 Au6'
_cell_length_a 8.9944
_cell_length_b 8.9944
_cell_length_c 13.2510
_cell_angle_alpha 90.00
_cell_angle_beta 90.00
_cell_angle_gamma 120.00
_space_group_name_H-M_alt 'R -3 m'
_space_group_IT_number 166
_space_group_name_Hall '-R 3 2"'
loop_
_atom_site_label
_atom_site_type_symbol
_atom_site_fract_x
_atom_site_fract_y
_atom_site_fract_z
Pa1 Pa 0.0000 0.0000 0.1574
Zn1 Zn 0.0000 0.2948 0.5000
Zn2 Zn 0.0000 0.5000 0.0000
Zn3 Zn 0.0115 0.5058 0.6506
Au1 Au 0.0000 0.0000 0.3880